# 1
Entry from Alexandria via LeMat-Bulk: a geometry-optimized HoMg7In4 structure (PBE).

Geometry as extended XYZ:
```
12
Lattice="5.6229 0.0000 0.0000 2.8114 8.6930 -0.1817 2.8114 -0.0559 6.3067" Properties=species:S:1:pos:R:3 pbc="T T T"
Mg 8.4343 3.0385 4.8998
Mg 2.8114 0.0000 0.0000
Mg 5.6229 3.6537 1.5882
Mg 5.6229 4.9835 4.5369
Mg 8.4343 7.7522 3.2504
Mg 2.8114 5.5987 1.2253
Mg 2.8114 0.8850 2.8747
In 5.6229 6.7250 2.1911
In 8.4343 5.8418 5.5425
In 2.8114 2.7954 0.5825
In 5.6229 1.9122 3.9339
Ho 0.0000 0.0000 0.0000
```

Summary:
space group = C2/m
calculated total energy = -2.149 eV per atom
E_form = 0.90 eV/f.u.
crystal system = monoclinic

---

# 2
Entry from Alexandria via LeMat-Bulk: a geometry-optimized Ho3MgIn12 structure (PBE).

Geometry as extended XYZ:
```
16
Lattice="4.6361 0.0000 0.0000 0.0000 4.6361 0.0000 0.0000 0.0000 18.5076" Properties=species:S:1:pos:R:3 pbc="T T T"
In 2.3180 2.3180 9.2538
In 2.3180 0.0000 2.2552
In 0.0000 2.3180 6.9313
In 2.3180 2.3180 0.0000
In 2.3180 0.0000 11.5764
In 0.0000 2.3180 2.2552
In 2.3180 2.3180 13.8700
In 2.3180 2.3180 4.6376
In 2.3180 0.0000 16.2524
In 0.0000 2.3180 11.5764
In 0.0000 2.3180 16.2524
In 2.3180 0.0000 6.9313
Ho 0.0000 0.0000 4.6428
Ho 0.0000 0.0000 9.2538
Ho 0.0000 0.0000 13.8649
Mg 0.0000 0.0000 0.0000
```

Summary:
space group = P4/mmm
calculated total energy = -3.306 eV per atom
E_form = -4.71 eV/f.u.
crystal system = tetragonal